# CsSn2Au (PBE-GGA, optimized geometry)
# Crystal system: cubic
# Energy of formation (meV/atom): 273
# Fermi-level density of states (states/eV/cell): 1.09
# Space-group type: Fm-3m (225)
data_CsSn2Au
_chemical_formula_sum 'Cs1 Sn2 Au1'
_space_group_name_H-M_alt 'P 1'
_space_group_IT_number 1
_cell_length_a 5.498
_cell_length_b 5.498
_cell_length_c 5.498
_cell_angle_alpha 60.00
_cell_angle_beta 60.00
_cell_angle_gamma 60.00
loop_
_space_group_symop_operation_xyz
'x,y,z'
loop_
_atom_site_label
_atom_site_fract_x
_atom_site_fract_y
_atom_site_fract_z
_atom_site_occupancy
Sn1 0.750 0.750 0.750 1
Sn2 0.250 0.250 0.250 1
Au1 0.500 0.500 0.500 1
Cs1 0.000 0.000 0.000 1


# La6SeO8 (PBE-GGA, optimized geometry)
# E_form (uncorrected) (meV/atom): -3265.8
# Crystal system: trigonal
# Fermi-level density of states (states/eV/cell): 0.00
# Space-group type: R-3 (148)
data_La6SeO8
_chemical_formula_sum 'La6 Se1 O8'
_space_group_name_H-M_alt 'P 1'
_space_group_IT_number 1
_cell_length_a 6.976
_cell_length_b 6.976
_cell_length_c 7.841
_cell_angle_alpha 63.59
_cell_angle_beta 63.59
_cell_angle_gamma 60.00
loop_
_space_group_symop_operation_xyz
'x,y,z'
loop_
_atom_site_label
_atom_site_fract_x
_atom_site_fract_y
_atom_site_fract_z
_atom_site_occupancy
O1 0.559 0.205 0.368 1
O2 0.205 0.868 0.368 1
O3 0.695 0.695 0.914 1
O4 0.868 0.559 0.368 1
O5 0.132 0.441 0.632 1
O6 0.795 0.132 0.632 1
O7 0.305 0.305 0.086 1
O8 0.441 0.795 0.632 1
La1 0.246 0.551 0.272 1
La2 0.070 0.754 0.728 1
La3 0.449 0.070 0.728 1
La4 0.551 0.930 0.272 1
La5 0.754 0.449 0.728 1
La6 0.930 0.246 0.272 1
Se1 0.000 0.000 0.000 1


# ZnFe2Os (PBE-GGA, optimized geometry)
# Crystal system: tetragonal
# Energy of formation (meV/atom): 88
# Fermi-level density of states (states/eV/cell): 2.92
# Space-group type: P4/mmm (123)
data_ZnFe2Os
_chemical_formula_sum 'Zn1 Fe2 Os1'
_space_group_name_H-M_alt 'P 1'
_space_group_IT_number 1
_cell_length_a 2.646
_cell_length_b 2.646
_cell_length_c 7.260
_cell_angle_alpha 90.00
_cell_angle_beta 90.00
_cell_angle_gamma 90.00
loop_
_space_group_symop_operation_xyz
'x,y,z'
loop_
_atom_site_label
_atom_site_fract_x
_atom_site_fract_y
_atom_site_fract_z
_atom_site_occupancy
Os1 0.500 0.500 0.250 1
Zn1 0.500 0.500 0.750 1
Fe1 0.000 0.000 0.004 1
Fe2 0.000 0.000 0.496 1


# LiGe2BrN (PBE-GGA, optimized geometry)
# E_form (uncorrected) (meV/atom): 188.9
# Crystal system: tetragonal
# ΔE to the lowest computed polymorph (kcal/mol of atoms): 0.000
# Fermi-level density of states (states/eV/cell): 1.70
# Space-group type: P4/mmm (123)
data_LiGe2BrN
_chemical_formula_sum 'Li1 Ge2 Br1 N1'
_space_group_name_H-M_alt 'P 1'
_space_group_IT_number 1
_cell_length_a 4.251
_cell_length_b 5.502
_cell_length_c 4.251
_cell_angle_alpha 90.00
_cell_angle_beta 90.00
_cell_angle_gamma 90.00
loop_
_space_group_symop_operation_xyz
'x,y,z'
loop_
_atom_site_label
_atom_site_fract_x
_atom_site_fract_y
_atom_site_fract_z
_atom_site_occupancy
Ge1 0.000 0.000 0.500 1
Ge2 0.500 0.000 0.000 1
Br1 0.500 0.500 0.500 1
Li1 0.000 0.500 0.000 1
N1 0.000 0.000 0.000 1


# Na2ErAlO4 (PBE-GGA, optimized geometry)
# E_form (uncorrected) (meV/atom): -2556.8
# Crystal system: monoclinic
# Fermi-level density of states (states/eV/cell): 0.00
# Space-group type: P2/m (10)
data_Na2ErAlO4
_chemical_formula_sum 'Na2 Er1 Al1 O4'
_space_group_name_H-M_alt 'P 1'
_space_group_IT_number 1
_cell_length_a 3.181
_cell_length_b 5.461
_cell_length_c 5.788
_cell_angle_alpha 108.62
_cell_angle_beta 90.00
_cell_angle_gamma 90.00
loop_
_space_group_symop_operation_xyz
'x,y,z'
loop_
_atom_site_label
_atom_site_fract_x
_atom_site_fract_y
_atom_site_fract_z
_atom_site_occupancy
O1 0.500 0.211 0.199 1
O2 0.000 0.769 0.199 1
O3 0.500 0.789 0.801 1
O4 0.000 0.231 0.801 1
Na1 0.500 0.000 0.500 1
Na2 0.000 0.500 0.500 1
Er1 0.500 0.500 0.000 1
Al1 0.000 0.000 0.000 1


# Li4Ce3Hg4 (PBE-GGA, optimized geometry)
# Crystal system: orthorhombic
# Energy of formation (meV/atom): -242
# Fermi-level density of states (states/eV/cell): 22.51
# Space-group type: Immm (71)
data_Li4Ce3Hg4
_chemical_formula_sum 'Li4 Ce3 Hg4'
_space_group_name_H-M_alt 'P 1'
_space_group_IT_number 1
_cell_length_a 4.743
_cell_length_b 7.766
_cell_length_c 8.391
_cell_angle_alpha 117.56
_cell_angle_beta 106.42
_cell_angle_gamma 90.00
loop_
_space_group_symop_operation_xyz
'x,y,z'
loop_
_atom_site_label
_atom_site_fract_x
_atom_site_fract_y
_atom_site_fract_z
_atom_site_occupancy
Hg1 0.500 0.790 0.000 1
Hg2 0.231 0.731 0.462 1
Hg3 0.500 0.210 0.000 1
Hg4 0.769 0.269 0.538 1
Li1 0.316 0.133 0.633 1
Li2 0.684 0.867 0.367 1
Li3 0.684 0.500 0.367 1
Li4 0.316 0.500 0.633 1
Ce1 0.899 0.899 0.798 1
Ce2 0.101 0.101 0.202 1
Ce3 0.000 0.500 0.000 1


# SmTiAl2 (PBE-GGA, optimized geometry)
# Crystal system: trigonal
# ΔE to the lowest computed polymorph (kcal/mol of atoms): 6.345
# Energy of formation (meV/atom): -15
# Fermi-level density of states (states/eV/cell): 3.95
# Space-group type: R-3m (166)
data_SmTiAl2
_chemical_formula_sum 'Sm1 Ti1 Al2'
_space_group_name_H-M_alt 'P 1'
_space_group_IT_number 1
_cell_length_a 3.138
_cell_length_b 3.138
_cell_length_c 9.930
_cell_angle_alpha 80.91
_cell_angle_beta 80.91
_cell_angle_gamma 60.00
loop_
_space_group_symop_operation_xyz
'x,y,z'
loop_
_atom_site_label
_atom_site_fract_x
_atom_site_fract_y
_atom_site_fract_z
_atom_site_occupancy
Al1 0.741 0.741 0.778 1
Al2 0.259 0.259 0.222 1
Ti1 0.000 0.000 0.000 1
Sm1 0.500 0.500 0.500 1


# ScZn2Hg (PBE-GGA, optimized geometry)
# Crystal system: monoclinic
# Energy of formation (meV/atom): -118
# Fermi-level density of states (states/eV/cell): 1.92
# Space-group type: C2/m (12)
data_ScZn2Hg
_chemical_formula_sum 'Sc1 Zn2 Hg1'
_space_group_name_H-M_alt 'P 1'
_space_group_IT_number 1
_cell_length_a 4.829
_cell_length_b 4.829
_cell_length_c 5.204
_cell_angle_alpha 77.96
_cell_angle_beta 77.96
_cell_angle_gamma 40.62
loop_
_space_group_symop_operation_xyz
'x,y,z'
loop_
_atom_site_label
_atom_site_fract_x
_atom_site_fract_y
_atom_site_fract_z
_atom_site_occupancy
Zn1 0.500 0.500 0.505 1
Zn2 0.000 0.000 0.995 1
Sc1 0.250 0.250 0.250 1
Hg1 0.750 0.750 0.750 1


# LaPm2Pr (PBE-GGA, optimized geometry)
# Crystal system: cubic
# ΔE to the lowest computed polymorph (kcal/mol of atoms): 2.954
# Energy of formation (meV/atom): 123
# Fermi-level density of states (states/eV/cell): 9.99
# Space-group type: Fm-3m (225)
data_LaPm2Pr
_chemical_formula_sum 'La1 Pm2 Pr1'
_space_group_name_H-M_alt 'P 1'
_space_group_IT_number 1
_cell_length_a 5.869
_cell_length_b 5.869
_cell_length_c 5.869
_cell_angle_alpha 60.00
_cell_angle_beta 60.00
_cell_angle_gamma 60.00
loop_
_space_group_symop_operation_xyz
'x,y,z'
loop_
_atom_site_label
_atom_site_fract_x
_atom_site_fract_y
_atom_site_fract_z
_atom_site_occupancy
Pr1 0.000 0.000 0.000 1
Pm1 0.750 0.750 0.750 1
Pm2 0.250 0.250 0.250 1
La1 0.500 0.500 0.500 1


# LaPm5Ho5 (PBE-GGA, optimized geometry)
# Crystal system: hexagonal
# Energy of formation (meV/atom): 288
# Fermi-level density of states (states/eV/cell): 21.63
# Space-group type: P-6m2 (187)
data_LaPm5Ho5
_chemical_formula_sum 'La1 Pm5 Ho5'
_space_group_name_H-M_alt 'P 1'
_space_group_IT_number 1
_cell_length_a 6.138
_cell_length_b 6.138
_cell_length_c 11.790
_cell_angle_alpha 90.00
_cell_angle_beta 90.00
_cell_angle_gamma 120.00
loop_
_space_group_symop_operation_xyz
'x,y,z'
loop_
_atom_site_label
_atom_site_fract_x
_atom_site_fract_y
_atom_site_fract_z
_atom_site_occupancy
Pm1 0.000 0.000 0.000 1
Pm2 0.333 0.667 0.324 1
Pm3 0.667 0.333 0.843 1
Pm4 0.333 0.667 0.676 1
Pm5 0.667 0.333 0.157 1
Ho1 0.000 0.000 0.734 1
Ho2 0.834 0.667 0.500 1
Ho3 0.834 0.166 0.500 1
Ho4 0.333 0.166 0.500 1
Ho5 0.000 0.000 0.266 1
La1 0.333 0.667 0.000 1


# NdNi5P2 (PBE-GGA, optimized geometry)
# Crystal system: orthorhombic
# Energy of formation (meV/atom): -694
# Fermi-level density of states (states/eV/cell): 6.91
# Space-group type: Immm (71)
data_NdNi5P2
_chemical_formula_sum 'Nd1 Ni5 P2'
_space_group_name_H-M_alt 'P 1'
_space_group_IT_number 1
_cell_length_a 3.738
_cell_length_b 5.822
_cell_length_c 5.822
_cell_angle_alpha 67.52
_cell_angle_beta 71.28
_cell_angle_gamma 71.28
loop_
_space_group_symop_operation_xyz
'x,y,z'
loop_
_atom_site_label
_atom_site_fract_x
_atom_site_fract_y
_atom_site_fract_z
_atom_site_occupancy
Ni1 0.344 0.844 0.468 1
Ni2 0.344 0.468 0.844 1
Ni3 0.656 0.156 0.532 1
Ni4 0.000 0.500 0.500 1
Ni5 0.656 0.532 0.156 1
P1 0.243 0.257 0.257 1
P2 0.757 0.743 0.743 1
Nd1 0.000 0.000 0.000 1


# LiAcPmSb (PBE-GGA, optimized geometry)
# E_form (uncorrected) (meV/atom): -429.8
# Crystal system: cubic
# Fermi-level density of states (states/eV/cell): 3.77
# Space-group type: F-43m (216)
data_LiAcPmSb
_chemical_formula_sum 'Li1 Ac1 Pm1 Sb1'
_space_group_name_H-M_alt 'P 1'
_space_group_IT_number 1
_cell_length_a 5.524
_cell_length_b 5.524
_cell_length_c 5.524
_cell_angle_alpha 60.00
_cell_angle_beta 60.00
_cell_angle_gamma 60.00
loop_
_space_group_symop_operation_xyz
'x,y,z'
loop_
_atom_site_label
_atom_site_fract_x
_atom_site_fract_y
_atom_site_fract_z
_atom_site_occupancy
Pm1 0.250 0.250 0.250 1
Ac1 0.750 0.750 0.750 1
Li1 0.000 0.000 0.000 1
Sb1 0.500 0.500 0.500 1